Tb6BiSb3Te2 | PBE | optimized geometry

a = 4.4123 Å, b = 8.8190 Å, c = 9.8675 Å
α = 103.05°, β = 102.92°, γ = 90.00°
Last column: nearest neighbours and their distance in Å.
Element x y z (fractional)
1 Tb 0.3321 0.9233 0.6642  3 Sb 3.08, 1 Bi 3.14, 2 Te 3.17
2 Tb 0.6637 0.5890 0.3275  3 Sb 3.06-3.07, 3 Te 3.16
3 Tb 0.6679 0.0767 0.3358  3 Sb 3.08, 1 Bi 3.14, 2 Te 3.17
4 Tb 0.9980 0.2533 0.9959  3 Sb 3.09, 2 Bi 3.15, 1 Te 3.17
5 Tb 0.0020 0.7467 0.0041  3 Sb 3.09, 2 Bi 3.15, 1 Te 3.17
6 Tb 0.3363 0.4110 0.6725  3 Sb 3.06-3.07, 3 Te 3.16
7 Bi 0.5000 0.0000 0.0000  6 Tb 3.14-3.15
8 Sb 0.5000 0.5000 0.0000  6 Tb 3.06-3.09
9 Sb 0.8326 0.1673 0.6653  6 Tb 3.07-3.09
10 Sb 0.1674 0.8327 0.3347  6 Tb 3.07-3.09
11 Te 0.8325 0.6654 0.6650  6 Tb 3.16-3.17
12 Te 0.1675 0.3346 0.3350  6 Tb 3.16-3.17

* mass density: 8.1 g cm⁻³
* ΔE_f (raw): -1.1977 eV per atom
* N(E_F): 4.2 states/eV/cell
* magnetic moment: 0.0 μB/cell
* crystal system: monoclinic
* SG: C2/m (12)
* energy: -64.69 eV for the cell shown

***

TlFeHRh2 | PBE | optimized geometry

a = 4.1068 Å, b = 4.1068 Å, c = 3.8633 Å
α = 90.00°, β = 90.00°, γ = 90.00°
Last column: nearest neighbours and their distance in Å.
Element x y z (fractional)
1 H 0.0000 0.0000 0.0000  2 Fe 1.93, 4 Rh 2.05
2 Tl 0.5000 0.5000 0.5000  8 Rh 2.82, 4 Fe 2.90
3 Rh 0.0000 0.5000 0.0000  2 H 2.05
4 Rh 0.5000 0.0000 0.0000  2 H 2.05
5 Fe 0.0000 0.0000 0.5000  2 H 1.93

* mass density: 11.9 g cm⁻³
* N(E_F): 4.4 states/eV/cell
* magnetic moment: 3.8 μB/cell
* crystal system: tetragonal
* SG: P4/mmm (123)
* energy: -28.47 eV for the cell shown

***

ScGaMo | PBE | optimized geometry

a = 5.2048 Å, b = 5.3553 Å, c = 5.3553 Å
α = 60.02°, β = 60.93°, γ = 60.93°
Last column: nearest neighbours and their distance in Å.
Element x y z (fractional)
1 Sc 0.8830 0.3670 0.3670  6 Ga 3.06-3.23, 6 Mo 3.10-3.15, 4 Sc 3.23-3.31
2 Sc 0.1170 0.6330 0.6330  6 Ga 3.06-3.23, 6 Mo 3.10-3.15, 4 Sc 3.23-3.31
3 Ga 0.5000 0.5000 0.0000  4 Mo 2.68, 2 Ga 2.68
4 Ga 0.5000 0.0000 0.5000  4 Mo 2.68, 2 Ga 2.68
5 Mo 0.0000 0.0000 0.0000  2 Mo 2.60, 4 Ga 2.68
6 Mo 0.5000 0.0000 0.0000  2 Mo 2.60, 4 Ga 2.68

* mass density: 6.5 g cm⁻³
* N(E_F): 3.9 states/eV/cell
* magnetic moment: 0.0 μB/cell
* crystal system: orthorhombic
* SG: Imma (74)
* energy: -42.56 eV for the cell shown

***

ZnSiHg2 | PBE | optimized geometry

a = 5.4561 Å, b = 5.4561 Å, c = 2.8013 Å
α = 90.00°, β = 90.00°, γ = 90.00°
Last column: nearest neighbours and their distance in Å.
Element x y z (fractional)
1 Hg 0.0000 0.0000 0.0000  2 Hg 2.80, 4 Si 3.07, 4 Zn 3.07
2 Hg 0.5000 0.5000 0.0000  2 Hg 2.80, 4 Zn 3.07, 4 Si 3.07
3 Si 0.5000 0.0000 0.5000  2 Si 2.80, 8 Hg 3.07
4 Zn 0.0000 0.5000 0.5000  2 Zn 2.80, 8 Hg 3.07

* mass density: 9.8 g cm⁻³
* ΔE_f (raw): 0.3796 eV per atom
* N(E_F): 1.0 states/eV/cell
* magnetic moment: 0.0 μB/cell
* crystal system: tetragonal
* SG: P4/mmm (123)
* energy: -5.78 eV for the cell shown

***

ErZr2Sc3 | PBE | optimized geometry

a = 6.6190 Å, b = 9.3861 Å, c = 6.5756 Å
α = 79.99°, β = 119.69°, γ = 122.28°
Last column: nearest neighbours and their distance in Å.
Element x y z (fractional)
1 Er 0.2622 0.0091 0.2543  3 Zr 3.25-3.39, 7 Sc 3.26-3.37, 2 Er 3.27-3.37
2 Er 0.7378 0.9909 0.7457  3 Zr 3.25-3.39, 7 Sc 3.26-3.37, 2 Er 3.27-3.37
3 Zr 0.2950 0.6537 0.3567  3 Zr 3.09-3.32, 7 Sc 3.11-3.35, 2 Er 3.26-3.39
4 Zr 0.2967 0.6564 0.8616  3 Zr 3.09-3.32, 8 Sc 3.13-3.36, 1 Er 3.25
5 Zr 0.7033 0.3436 0.1384  3 Zr 3.09-3.32, 8 Sc 3.13-3.36, 1 Er 3.25
6 Zr 0.7050 0.3463 0.6433  3 Zr 3.09-3.32, 7 Sc 3.11-3.35, 2 Er 3.26-3.39
7 Sc 0.2654 0.0096 0.7559  3 Zr 3.22-3.36, 5 Sc 3.24-3.39, 4 Er 3.26-3.37
8 Sc 0.7346 0.9904 0.2441  3 Zr 3.22-3.36, 5 Sc 3.24-3.39, 4 Er 3.26-3.37
9 Sc 0.7965 0.6589 0.8577  6 Zr 3.11-3.32, 4 Sc 3.13-3.36, 2 Er 3.26-3.36
10 Sc 0.2050 0.3388 0.6413  5 Sc 3.13-3.35, 6 Zr 3.15-3.35, 1 Er 3.35
11 Sc 0.7950 0.6612 0.3587  5 Sc 3.13-3.35, 6 Zr 3.15-3.35, 1 Er 3.35
12 Sc 0.2035 0.3411 0.1423  6 Zr 3.11-3.32, 4 Sc 3.13-3.36, 2 Er 3.26-3.36

* mass density: 5.4 g cm⁻³
* N(E_F): 16.5 states/eV/cell
* magnetic moment: 0.0 μB/cell
* crystal system: triclinic
* SG: P-1 (2)
* energy: -81.16 eV for the cell shown

***

AcDyBiO2 | PBE | optimized geometry

a = 4.0408 Å, b = 4.0408 Å, c = 7.6737 Å
α = 105.27°, β = 105.27°, γ = 90.00°
Last column: nearest neighbours and their distance in Å.
Element x y z (fractional)
1 Ac 0.8380 0.8380 0.6760  4 O 2.44
2 Dy 0.1692 0.1692 0.3383  4 O 2.27
3 Bi 0.5100 0.5100 0.0201  4 Dy 3.65, 4 Ac 3.76, 4 O 3.87, 4 Bi 4.04
4 O 0.7414 0.2414 0.4828  2 Dy 2.27, 2 Ac 2.44
5 O 0.2414 0.7414 0.4828  2 Dy 2.27, 2 Ac 2.44

* mass density: 9.0 g cm⁻³
* ΔE_f (raw): -2.6123 eV per atom
* N(E_F): 1.7 states/eV/cell
* magnetic moment: 0.0 μB/cell
* crystal system: tetragonal
* SG: I4mm (107)
* energy: -35.57 eV for the cell shown